# 1
! Cs2Zr2Ni, relaxed, DFT PBE; values from VASP
&SYSTEM
  ibrav = 0, nat = 10, ntyp = 3
/
ATOMIC_SPECIES
Cs 132.91 Cs.upf
Zr 91.22 Zr.upf
Ni 58.69 Ni.upf
CELL_PARAMETERS angstrom
6.7850 0.0000 0.0000
0.0000 6.7850 0.0000
0.0000 0.0000 6.8993
ATOMIC_POSITIONS angstrom
Cs 1.5441 1.8484 0.0000
Cs 1.8484 5.2409 0.0000
Cs 4.9366 1.5441 0.0000
Cs 5.2409 4.9366 0.0000
Zr 1.0858 4.4783 3.4496
Zr 2.3068 1.0858 3.4496
Zr 4.4783 5.6993 3.4496
Zr 5.6993 2.3068 3.4496
Ni 0.0000 0.0000 3.4496
Ni 3.3925 3.3925 3.4496
! energy relative to the elements = 0.760 eV/atom
! DOS at the Fermi energy = 1.508 states/eV/atom
! space-group type = P4/mbm (127)

=====

# 2
! CsZrNi3, relaxed, DFT PBE; values from VASP
&SYSTEM
  ibrav = 0, nat = 5, ntyp = 3
/
ATOMIC_SPECIES
Cs 132.91 Cs.upf
Zr 91.22 Zr.upf
Ni 58.69 Ni.upf
CELL_PARAMETERS angstrom
4.9864 0.0000 0.0000
0.0000 4.9864 0.0000
0.0000 0.0000 4.9864
ATOMIC_POSITIONS angstrom
Cs 0.0000 0.0000 0.0000
Zr 2.4932 2.4932 2.4932
Ni 0.0000 2.4932 2.4932
Ni 2.4932 0.0000 2.4932
Ni 2.4932 2.4932 0.0000
! polymorph energy (0 for the lowest one) = 0 meV/atom
! energy relative to the elements = 1.009 eV/atom
! DOS at the Fermi energy = 1.208 states/eV/atom
! space-group type = Pm-3m (221)

=====

# 3
! CsZrNi2, relaxed, DFT PBE; values from VASP
&SYSTEM
  ibrav = 0, nat = 4, ntyp = 3
/
ATOMIC_SPECIES
Cs 132.91 Cs.upf
Zr 91.22 Zr.upf
Ni 58.69 Ni.upf
CELL_PARAMETERS angstrom
0.0000 3.4408 3.4408
3.4408 0.0000 3.4408
3.4408 3.4408 0.0000
ATOMIC_POSITIONS angstrom
Cs 0.0000 0.0000 0.0000
Zr 3.4408 3.4408 3.4408
Ni 1.7204 1.7204 1.7204
Ni 5.1612 5.1612 5.1612
! polymorph energy (0 for the lowest one) = 119 meV/atom
! energy relative to the elements = 0.957 eV/atom
! DOS at the Fermi energy = 0.719 states/eV/atom
! space-group type = Fm-3m (225)

=====

# 4
! CsZrNi3, relaxed, DFT PBE; values from VASP
&SYSTEM
  ibrav = 0, nat = 5, ntyp = 3
/
ATOMIC_SPECIES
Cs 132.91 Cs.upf
Zr 91.22 Zr.upf
Ni 58.69 Ni.upf
CELL_PARAMETERS angstrom
4.7381 0.0000 0.0000
0.0000 4.7381 0.0000
0.0000 0.0000 4.7381
ATOMIC_POSITIONS angstrom
Cs 0.0000 0.0000 0.0000
Zr 2.3691 2.3691 2.3691
Ni 0.0000 0.0000 2.3691
Ni 0.0000 2.3691 0.0000
Ni 2.3691 0.0000 0.0000
! polymorph energy (0 for the lowest one) = 904 meV/atom
! energy relative to the elements = 1.912 eV/atom
! DOS at the Fermi energy = 1.673 states/eV/atom
! space-group type = Pm-3m (221)

=====

- What is the formula in the second record?
  CsZrNi3